Computed, not measured: an optimized crystal structure of Na2PuCdBi2 at the PBE level of DFT.

a b c (Å): 6.947 5.163 9.530
angles (deg): 90.00 90.00 90.00
Space group Pmma (No. 51)
Unique sites:
Na 0.000 0.000 0.000 (multiplicity 2)
Na 0.250 0.500 0.154 (multiplicity 2)
Pu 0.000 0.500 0.500 (multiplicity 2)
Cd 0.250 0.000 0.664 (multiplicity 2)
Bi 0.250 0.000 0.345 (multiplicity 2)
Bi 0.250 0.500 0.819 (multiplicity 2)

energy relative to the elements = -0.279 eV per atom
E_tot = -4.55 eV/atom
magnetic moment = 11.42 μB per cell



Computed, not measured: an optimized crystal structure of RbNa2Cd2Bi2 at the PBE level of DFT.

a b c (Å): 5.1279 5.1279 30.5511
angles (deg): 90.00 90.00 120.00
Space group R-3m (No. 166, hexagonal axes)
Unique sites:
Rb 0.0000 0.0000 0.0000 (multiplicity 3)
Na 0.0000 0.0000 0.1418 (multiplicity 6)
Cd 0.0000 0.0000 0.4468 (multiplicity 6)
Bi 0.0000 0.0000 0.2496 (multiplicity 6)

energy relative to the elements = -0.286 eV per atom
E_tot = -2.17 eV/atom
magnetic moment = 0.00 μB per cell



Computed, not measured: an optimized crystal structure of RbNaCd2Bi2 at the PBE level of DFT.

a b c (Å): 5.0336 5.0336 9.3372
angles (deg): 90.00 90.00 120.00
Space group P-3m1 (No. 164)
Unique sites:
Rb 0.0000 0.0000 0.0000 (multiplicity 1)
Na 0.0000 0.0000 0.5000 (multiplicity 1)
Cd 0.3333 0.6667 0.3589 (multiplicity 2)
Bi 0.3333 0.6667 0.7257 (multiplicity 2)

energy relative to the elements = -0.285 eV per atom
E_tot = -2.26 eV/atom
magnetic moment = 0.00 μB per cell



Computed, not measured: an optimized crystal structure of RbNaCdBi2 at the PBE level of DFT.

a b c (Å): 5.352 5.352 12.640
angles (deg): 90.00 90.00 90.00
Space group I-4m2 (No. 119)
Unique sites:
Rb 0.000 0.000 0.000 (multiplicity 2)
Na 0.000 0.500 0.250 (multiplicity 2)
Cd 0.000 0.500 0.750 (multiplicity 2)
Bi 0.000 0.000 0.379 (multiplicity 4)

energy relative to the elements = -0.265 eV per atom
E_tot = -2.46 eV/atom
magnetic moment = 0.00 μB per cell



Computed, not measured: an optimized crystal structure of RbNaCdBi at the PBE level of DFT.

a b c (Å): 8.093 8.093 8.093
angles (deg): 90.00 90.00 90.00
Space group F-43m (No. 216)
Unique sites:
Rb 0.000 0.000 0.000 (multiplicity 4)
Na 0.250 0.250 0.750 (multiplicity 4)
Cd 0.250 0.250 0.250 (multiplicity 4)
Bi 0.000 0.000 0.500 (multiplicity 4)

energy relative to the elements = -0.161 eV per atom
E_tot = -1.93 eV/atom
magnetic moment = 0.00 μB per cell



Computed, not measured: an optimized crystal structure of RbNaCd2Bi at the PBE level of DFT.

a b c (Å): 5.109 5.275 12.882
angles (deg): 90.00 90.00 90.00
Space group Imm2 (No. 44)
Unique sites:
Rb 0.000 0.000 0.000 (multiplicity 2)
Na 0.000 0.500 0.736 (multiplicity 2)
Cd 0.000 0.000 0.380 (multiplicity 2)
Cd 0.000 0.500 0.250 (multiplicity 2)
Bi 0.000 0.000 0.611 (multiplicity 2)

energy relative to the elements = -0.198 eV per atom
E_tot = -1.80 eV/atom
magnetic moment = 0.00 μB per cell